Entry 1:
YErTm2P4, optimized geometry, DFT PBE-GGA; D(E_F) = 0.12 states/eV/atom; ΔH_f (0 K) = -12.90 eV per formula unit
1.0
3.9707 0.0000 0.0000
0.0000 6.8740 0.1204
0.0000 -2.4037 6.4405
Y Tm P Er
1 2 4 1
Direct
0.0000 0.0000 0.0000 Y
0.5000 0.0000 0.5000 Tm
0.0000 0.5000 0.5000 Tm
0.5000 0.2525 0.2533 P
0.5000 0.7475 0.7467 P
0.0000 0.2506 0.7477 P
0.0000 0.7494 0.2523 P
0.5000 0.5000 0.0000 Er

=====

Entry 2:
ErTmZr2P4, optimized geometry, DFT PBE-GGA; D(E_F) = 0.50 states/eV/atom; ΔH_f (0 K) = -11.84 eV per formula unit
1.0
3.8216 0.0000 0.0000
0.0000 6.6240 0.1115
0.0000 -2.3208 6.2918
Tm Zr P Er
1 2 4 1
Direct
0.0000 0.0000 0.0000 Tm
0.0000 0.5000 0.5000 Zr
0.5000 0.0000 0.5000 Zr
0.5000 0.2529 0.2604 P
0.0000 0.2458 0.7392 P
0.0000 0.7542 0.2608 P
0.5000 0.7471 0.7396 P
0.5000 0.5000 0.0000 Er

=====

Entry 3:
ErTm2ZrP4, optimized geometry, DFT PBE-GGA; D(E_F) = 0.19 states/eV/atom; ΔH_f (0 K) = -12.40 eV per formula unit
1.0
3.8869 0.0000 0.0000
0.0000 6.7396 0.1273
0.0000 -2.3460 6.3175
Zr P Er Tm
1 4 1 2
Direct
0.0000 0.0000 0.0000 Zr
0.5000 0.2419 0.2428 P
0.5000 0.7581 0.7572 P
0.0000 0.7551 0.2467 P
0.0000 0.2449 0.7533 P
0.5000 0.5000 0.0000 Er
0.5000 0.0000 0.5000 Tm
0.0000 0.5000 0.5000 Tm